(1)
First-principles (PBE-GGA) data for a relaxed TbDy2Bi crystal, as listed in the Alexandria database.

a = 4.102 Å, b = 4.102 Å, c = 7.123 Å
α = 90.00°, β = 90.00°, γ = 90.00°
Atoms (fractional coordinates):
Tb (0.500, 0.500, 0.500)
Bi (0.500, 0.500, 0.000)
Dy (0.000, 0.000, 0.767)
Dy (0.000, 0.000, 0.233)

Values from the calculation:
Crystal system ... tetragonal
E above lowest polymorph ... 84 meV/atom
Fermi-level density of states ... 5.7 states/eV/f.u.
Energy of formation ... -0.339 eV per atom

(2)
First-principles (PBE-GGA) data for a relaxed SrSnP2Cl crystal, as listed in the Alexandria database.

a = 5.039 Å, b = 5.039 Å, c = 5.449 Å
α = 90.00°, β = 90.00°, γ = 90.00°
Atoms (fractional coordinates):
Sr (0.500, 0.500, 0.500)
Sn (0.000, 0.000, 0.000)
P (0.000, 0.500, 0.000)
P (0.500, 0.000, 0.000)
Cl (0.000, 0.000, 0.500)

Values from the calculation:
Crystal system ... tetragonal
E above lowest polymorph ... 0 meV/atom
Fermi-level density of states ... 2.9 states/eV/f.u.

(3)
First-principles (PBE-GGA) data for a relaxed Li3Mg2PaSe6 crystal, as listed in the Alexandria database.

a = 6.800 Å, b = 6.800 Å, c = 6.865 Å
α = 99.51°, β = 99.51°, γ = 119.98°
Atoms (fractional coordinates):
Li (0.164, 0.836, 0.500)
Li (0.836, 0.164, 0.500)
Li (0.500, 0.500, 0.500)
Mg (0.333, 0.667, 0.000)
Mg (0.667, 0.333, 0.000)
Pa (0.000, 0.000, 0.000)
Se (0.918, 0.582, 0.752)
Se (0.746, 0.746, 0.246)
Se (0.082, 0.418, 0.248)
Se (0.582, 0.918, 0.752)
Se (0.254, 0.254, 0.754)
Se (0.418, 0.082, 0.248)

Values from the calculation:
Crystal system ... monoclinic
Fermi-level density of states ... 0.0 states/eV/f.u.
E ... -4.593 eV per atom

(4)
First-principles (PBE-GGA) data for a relaxed TiSF3 crystal, as listed in the Alexandria database.

a = 4.060 Å, b = 4.060 Å, c = 4.060 Å
α = 90.00°, β = 90.00°, γ = 90.00°
Each line ends with the local moment (μB).
Atoms (fractional coordinates):
S (0.500, 0.500, 0.500)  1.05
F (0.000, 0.500, 0.000)  0.04
F (0.000, 0.000, 0.500)  0.06
F (0.500, 0.000, 0.000)  0.07
Ti (0.000, 0.000, 0.000)  0.15

Values from the calculation:
Crystal system ... cubic
E above lowest polymorph ... 0 meV/atom
Fermi-level density of states ... 7.2 states/eV/f.u.